(1)
A relaxed Li3Nb4O12 crystal. Source: Alexandria via LeMat-Bulk, functional PBEsol.

Output
space group	R3 (146)
total energy	-8.25	eV per atom
formation energy from raw total energies	-4306	kJ/mol of formula units

The structure in extended XYZ format:
```
19
Lattice="2.596 1.499 9.343 -2.596 1.499 9.343 0.000 -2.998 9.343" Properties=species:S:1:pos:R:3 pbc="T T T"
Li 0.000 0.000 0.000
Li 0.000 0.000 6.922
Li 0.000 0.000 20.925
Nb 0.000 0.000 3.792
Nb 0.000 0.000 10.912
Nb 0.000 0.000 17.925
Nb 0.000 0.000 24.991
O -1.655 -0.216 9.952
O -2.198 0.066 14.634
O -0.685 -1.484 12.217
O -1.006 -1.347 17.000
O 1.015 -1.326 9.952
O -0.943 1.335 12.217
O 1.042 -1.936 14.634
O 0.641 1.542 9.952
O -0.664 1.545 17.000
O 1.628 0.149 12.217
O 1.670 -0.198 17.000
O 1.156 1.871 14.634
```



(2)
A relaxed BiIr3Se crystal. Source: Alexandria via LeMat-Bulk, functional PBEsol.

Output
space group	Pm-3m (221)
total energy	-5.11	eV per atom
formation energy from raw total energies	1162	kJ/mol of formula units

The structure in extended XYZ format:
```
5
Lattice="4.920 0.000 0.000 0.000 4.920 0.000 0.000 0.000 4.920" Properties=species:S:1:pos:R:3 pbc="T T T"
Bi 0.000 0.000 0.000
Ir 0.000 0.000 2.460
Ir 0.000 2.460 0.000
Ir 2.460 0.000 0.000
Se 2.460 2.460 2.460
```



(3)
A relaxed NbAgSb2I crystal. Source: Alexandria via LeMat-Bulk, functional PBEsol.

Output
space group	P4/mmm (123)
total energy	-3.84	eV per atom
formation energy from raw total energies	562	kJ/mol of formula units

The structure in extended XYZ format:
```
5
Lattice="5.175 0.000 0.000 0.000 5.175 0.000 0.000 0.000 5.443" Properties=species:S:1:pos:R:3 pbc="T T T"
Nb 0.000 0.000 0.000
Ag 2.587 2.587 2.721
Sb 0.000 2.587 2.721
Sb 2.587 0.000 2.721
I 2.587 2.587 0.000
```



(4)
A relaxed AlReHg crystal. Source: Alexandria via LeMat-Bulk, functional PBEsol.

Output
space group	Imm2 (44)
ΔH_f (0 K)	0.407	eV per atom
total energy	-5.59	eV per atom

The structure in extended XYZ format:
```
3
Lattice="-1.371 1.955 4.674 1.371 -1.955 4.674 1.371 1.955 -4.674" Properties=species:S:1:pos:R:3 pbc="T T T"
Al 0.000 0.000 0.000
Re 0.000 0.000 3.595
Hg 0.000 0.000 6.485
```



(5)
A relaxed Li2SnP6O18 crystal. Source: Alexandria via LeMat-Bulk, functional PBEsol.

Output
space group	P1 (1)
total energy	-7.19	eV per atom
formation energy from raw total energies	-5472	kJ/mol of formula units

The structure in extended XYZ format:
```
27
Lattice="7.176 0.000 0.000 2.834 6.938 0.000 2.116 -0.762 7.238" Properties=species:S:1:pos:R:3 pbc="T T T"
Li 0.000 0.000 0.000
Li 4.204 5.522 1.922
Sn 6.032 2.250 4.749
P 1.982 3.891 0.086
P 6.389 5.567 4.625
P 4.258 0.560 2.576
P 6.228 3.668 0.006
P 9.172 6.079 3.934
P 7.767 1.969 1.784
O 1.727 3.025 1.406
O 0.989 0.555 1.614
O 2.696 5.131 0.461
O 3.205 -0.537 5.787
O 4.742 2.200 6.316
O 6.117 6.380 3.257
O 5.674 4.231 4.478
O 4.428 1.709 3.587
O 3.862 0.864 1.206
O 5.577 4.520 1.011
O 7.960 5.216 4.543
O 7.660 2.589 5.938
O 6.581 0.293 4.916
O 5.660 -0.250 2.606
O 7.279 2.450 3.126
O 6.654 2.227 0.636
O 9.794 3.475 6.815
O 10.316 5.231 3.574
```



(6)
A relaxed TaMnBe2 crystal. Source: Alexandria via LeMat-Bulk, functional PBEsol.

Output
space group	I-4m2 (119)
offset from the most stable computed form	0.0000	eV/atom
ΔH_f (0 K)	0.109	eV per atom
total energy	-7.47	eV per atom

The structure in extended XYZ format:
```
4
Lattice="-1.754 1.754 3.699 1.754 -1.754 3.699 1.754 1.754 -3.699" Properties=species:S:1:pos:R:3 pbc="T T T"
Ta 0.000 0.000 0.000
Mn 1.754 0.000 1.850
Be 0.000 0.000 3.699
Be 0.000 1.754 1.850
```



(7)
A relaxed YPb5 crystal. Source: Alexandria via LeMat-Bulk, functional PBEsol.

Output
space group	Cm (8)
offset from the most stable computed form	0.0523	eV/atom
ΔH_f (0 K)	-0.135	eV per atom
total energy	-4.60	eV per atom

The structure in extended XYZ format:
```
6
Lattice="6.128 -1.793 0.000 6.128 1.793 0.000 -2.385 0.000 7.789" Properties=species:S:1:pos:R:3 pbc="T T T"
Y 0.000 0.000 0.000
Pb -0.844 0.000 4.654
Pb 2.450 0.000 5.315
Pb 4.089 0.000 2.018
Pb 7.435 0.000 2.645
Pb 6.512 0.000 7.292
```



(8)
A relaxed YCo2Re crystal. Source: Alexandria via LeMat-Bulk, functional PBEsol.

Output
space group	Cm (8)
offset from the most stable computed form	0.0000	eV/atom
ΔH_f (0 K)	0.254	eV per atom
total energy	-8.65	eV per atom

The structure in extended XYZ format:
```
4
Lattice="4.320 -1.435 0.000 4.320 1.435 0.000 -0.949 0.000 4.840" Properties=species:S:1:pos:R:3 pbc="T T T"
Y 0.000 0.000 0.000
Co 1.349 0.000 3.607
Co 3.897 0.000 2.423
Re 6.343 0.000 1.817
```



(9)
A relaxed Zn2ReAgW crystal. Source: Alexandria via LeMat-Bulk, functional PBEsol.

Output
space group	P4/mmm (123)
ΔH_f (0 K)	1.479	eV per atom
total energy	-5.24	eV per atom

The structure in extended XYZ format:
```
5
Lattice="4.764 0.000 0.000 0.000 4.764 0.000 0.000 0.000 4.637" Properties=species:S:1:pos:R:3 pbc="T T T"
Zn 0.000 2.382 0.000
Zn 2.382 0.000 0.000
Re 0.000 0.000 0.000
Ag 2.382 2.382 2.319
W 0.000 0.000 2.319
```



(10)
A relaxed RbS2N crystal. Source: Alexandria via LeMat-Bulk, functional PBEsol.

Output
space group	I4_1/amd (141)
total energy	-4.35	eV per atom
formation energy from raw total energies	87	kJ/mol of formula units

The structure in extended XYZ format:
```
8
Lattice="-2.769 2.769 5.498 2.769 -2.769 5.498 2.769 2.769 -5.498" Properties=species:S:1:pos:R:3 pbc="T T T"
Rb 2.769 1.384 1.375
Rb 0.000 1.384 4.124
S 0.000 0.000 0.000
S 1.384 1.384 -2.749
S 1.384 -1.384 2.749
S 0.000 2.769 0.000
N 2.769 -1.384 4.124
N 0.000 4.153 1.375
```



(11)
A relaxed LaTlMo2 crystal. Source: Alexandria via LeMat-Bulk, functional PBEsol.

Output
space group	C2/m (12)
offset from the most stable computed form	0.3392	eV/atom
ΔH_f (0 K)	0.718	eV per atom
total energy	-7.16	eV per atom

The structure in extended XYZ format:
```
4
Lattice="3.110 -4.759 0.000 3.110 4.759 0.000 -1.228 0.000 2.686" Properties=species:S:1:pos:R:3 pbc="T T T"
La 0.000 0.000 0.000
Tl 3.110 0.000 0.000
Mo 0.941 2.379 1.343
Mo 0.941 -2.379 1.343
```



(12)
A relaxed AlCu2Ni crystal. Source: Alexandria via LeMat-Bulk, functional PBEsol.

Output
space group	Pmm2 (25)
ΔH_f (0 K)	-0.255	eV per atom
total energy	-4.98	eV per atom

The structure in extended XYZ format:
```
4
Lattice="2.668 0.000 0.000 0.000 3.345 0.000 0.000 0.000 5.191" Properties=species:S:1:pos:R:3 pbc="T T T"
Al 0.000 0.000 0.000
Cu 0.000 0.000 2.653
Cu 1.334 1.673 1.402
Ni 1.334 1.673 3.974
```



(13)
A relaxed RbNbCrSn2 crystal. Source: Alexandria via LeMat-Bulk, functional PBEsol.

Output
space group	P4/mmm (123)
ΔH_f (0 K)	1.215	eV per atom
total energy	-4.91	eV per atom

The structure in extended XYZ format:
```
5
Lattice="5.357 0.000 0.000 0.000 5.357 0.000 0.000 0.000 5.717" Properties=species:S:1:pos:R:3 pbc="T T T"
Rb 0.000 0.000 0.000
Nb 0.000 0.000 2.858
Cr 2.679 2.679 0.000
Sn 0.000 2.679 2.858
Sn 2.679 0.000 2.858
```



(14)
A relaxed ZnAgTe crystal. Source: Alexandria via LeMat-Bulk, functional PBEsol.

Output
space group	P3m1 (156)
offset from the most stable computed form	0.0000	eV/atom
total energy	-2.74	eV per atom
formation energy from raw total energies	19	kJ/mol of formula units

The structure in extended XYZ format:
```
3
Lattice="4.147 0.000 0.000 -2.073 3.591 0.000 0.000 0.000 4.268" Properties=species:S:1:pos:R:3 pbc="T T T"
Zn 0.000 0.000 0.000
Ag 0.000 2.394 3.035
Te 2.073 1.197 1.410
```



(15)
A relaxed Mg2ZnIn crystal. Source: Alexandria via LeMat-Bulk, functional PBEsol.

Output
space group	P4/mmm (123)
ΔH_f (0 K)	-0.084	eV per atom
total energy	-2.08	eV per atom

The structure in extended XYZ format:
```
4
Lattice="3.115 0.000 0.000 0.000 3.115 0.000 0.000 0.000 8.238" Properties=species:S:1:pos:R:3 pbc="T T T"
Mg 0.000 0.000 1.801
Mg 0.000 0.000 6.437
Zn 1.558 1.558 0.000
In 1.558 1.558 4.119
```



(16)
A relaxed CaSnO3 crystal. Source: Alexandria via LeMat-Bulk, functional PBEsol.

Output
space group	Pm-3m (221)
total energy	-5.23	eV per atom
formation energy from raw total energies	-385	kJ/mol of formula units

The structure in extended XYZ format:
```
5
Lattice="4.275 0.000 0.000 0.000 4.275 0.000 0.000 0.000 4.275" Properties=species:S:1:pos:R:3 pbc="T T T"
Ca 0.000 0.000 0.000
Sn 2.138 2.138 2.138
O 0.000 0.000 2.138
O 0.000 2.138 0.000
O 2.138 0.000 0.000
```



(17)
A relaxed Ta2Zn2SnO8 crystal. Source: Alexandria via LeMat-Bulk, functional PBEsol.

Output
space group	C2/c (15)
total energy	-7.87	eV per atom
formation energy from raw total energies	-2675	kJ/mol of formula units

The structure in extended XYZ format:
```
26
Lattice="10.363 -2.937 0.000 10.363 2.937 0.000 -0.244 0.000 5.369" Properties=species:S:1:pos:R:3 pbc="T T T"
Ta 7.570 2.009 4.213
Ta 12.790 2.009 3.840
Ta 7.692 -2.009 1.529
Ta 12.912 -2.009 1.156
Zn 5.715 0.889 1.486
Zn 5.593 -0.889 4.170
Zn 14.889 0.889 1.198
Zn 14.768 -0.889 3.883
Sn 10.302 1.095 1.342
Sn 10.180 -1.095 4.027
O 8.578 2.429 2.584
O 3.546 0.650 4.919
O 6.080 0.879 3.473
O 12.027 2.429 0.100
O 3.667 -0.650 2.234
O 8.720 0.663 4.755
O 6.202 -0.879 0.788
O 11.640 0.663 3.298
O 8.842 -0.663 2.071
O 14.281 0.879 4.580
O 11.762 -0.663 0.614
O 16.815 0.650 3.134
O 8.456 -2.429 5.268
O 14.403 -0.879 1.896
O 16.937 -0.650 0.450
O 11.905 -2.429 2.785
```



(18)
A relaxed Ni2RuSe crystal. Source: Alexandria via LeMat-Bulk, functional PBEsol.

Output
space group	Immm (71)
total energy	-6.38	eV per atom
formation energy from raw total energies	79	kJ/mol of formula units

The structure in extended XYZ format:
```
4
Lattice="-1.433 2.090 4.149 1.433 -2.090 4.149 1.433 2.090 -4.149" Properties=species:S:1:pos:R:3 pbc="T T T"
Ni 0.000 0.000 1.882
Ni 0.000 0.000 6.416
Ru 0.000 2.090 0.000
Se 1.433 0.000 0.000
```



(19)
A relaxed TcPbW crystal. Source: Alexandria via LeMat-Bulk, functional PBEsol.

Output
space group	P3m1 (156)
offset from the most stable computed form	0.0000	eV/atom
ΔH_f (0 K)	0.641	eV per atom
total energy	-9.05	eV per atom

The structure in extended XYZ format:
```
3
Lattice="3.101 0.000 0.000 -1.551 2.686 0.000 0.000 0.000 6.823" Properties=species:S:1:pos:R:3 pbc="T T T"
Tc 0.000 0.000 0.000
Pb 1.551 0.895 2.536
W 0.000 1.791 5.122
```



(20)
A relaxed FeMoCl2 crystal. Source: Alexandria via LeMat-Bulk, functional PBEsol.

Output
space group	Imm2 (44)
offset from the most stable computed form	0.1863	eV/atom
total energy	-6.08	eV per atom
formation energy from raw total energies	40	kJ/mol of formula units

The structure in extended XYZ format:
```
4
Lattice="-1.475 1.534 8.002 1.475 -1.534 8.002 1.475 1.534 -8.002" Properties=species:S:1:pos:R:3 pbc="T T T"
Fe 0.000 0.000 0.000
Mo 1.475 0.000 6.446
Cl 0.000 0.000 9.467
Cl 0.000 1.534 4.848
```



(21)
A relaxed GeTe2Ir crystal. Source: Alexandria via LeMat-Bulk, functional PBEsol.

Output
space group	I-42d (122)
total energy	-5.19	eV per atom
formation energy from raw total energies	102	kJ/mol of formula units

The structure in extended XYZ format:
```
8
Lattice="-3.066 3.066 6.039 3.066 -3.066 6.039 3.066 3.066 -6.039" Properties=species:S:1:pos:R:3 pbc="T T T"
Ge 0.000 0.000 0.000
Ge 0.000 3.066 3.019
Te 1.533 -1.324 4.529
Te 1.742 1.533 1.510
Te 1.533 4.390 -1.510
Te 1.324 1.533 7.548
Ir 3.066 0.000 3.019
Ir 0.000 0.000 6.039
```



(22)
A relaxed Y2TlTc crystal. Source: Alexandria via LeMat-Bulk, functional PBEsol.

Output
space group	Imm2 (44)
ΔH_f (0 K)	0.018	eV per atom
total energy	-6.87	eV per atom

The structure in extended XYZ format:
```
4
Lattice="-1.758 2.455 5.316 1.758 -2.455 5.316 1.758 2.455 -5.316" Properties=species:S:1:pos:R:3 pbc="T T T"
Y 0.000 0.000 0.000
Y 0.000 2.455 2.217
Tl 0.000 0.000 4.520
Tc 1.758 0.000 2.330
```



(23)
A relaxed Sr2Al crystal. Source: Alexandria via LeMat-Bulk, functional PBEsol.

Output
space group	Fd-3m (227)
ΔH_f (0 K)	-0.044	eV per atom
total energy	-2.63	eV per atom

The structure in extended XYZ format:
```
24
Lattice="0.000 7.560 7.560 7.560 0.000 7.560 7.560 7.560 0.000" Properties=species:S:1:pos:R:3 pbc="T T T"
Sr 0.000 0.000 0.000
Sr 3.780 3.780 0.000
Sr 3.780 0.000 3.780
Sr 5.670 5.670 2.745
Sr 5.670 2.745 5.670
Sr 8.595 5.670 5.670
Sr 9.450 9.450 6.525
Sr 9.450 6.525 9.450
Sr 12.375 9.450 9.450
Sr 0.000 3.780 3.780
Sr 2.745 5.670 5.670
Sr 5.670 8.595 5.670
Sr 5.670 5.670 8.595
Sr 6.525 9.450 9.450
Sr 9.450 12.375 9.450
Sr 9.450 9.450 12.375
Al 12.147 6.753 6.753
Al 2.973 2.973 2.973
Al 8.367 8.367 2.973
Al 8.367 2.973 8.367
Al 6.753 12.147 6.753
Al 6.753 6.753 12.147
Al 12.147 12.147 12.147
Al 2.973 8.367 8.367
```